(1)
The following is a GGA-PBE calculation of a relaxed structure of YMnRu2, from Alexandria.

For the calculated density, the calculation gives 8.34 Mg/m³. The calculation puts the energy relative to the elements at 0.20 eV/atom.

a b c (Å): 2.9652 3.8849 5.9797
angles (deg): 90.00 90.00 90.00
Fractional coordinates of all 4 atoms:
Y1 0.0000 0.0000 0.0000
Mn1 0.5000 0.5000 0.3145
Ru1 0.0000 0.0000 0.5102
Ru2 0.5000 0.5000 0.7188

---

(2)
The following is a GGA-PBE calculation of a relaxed structure of AcTbIr, from Alexandria.

For the calculated density, the calculation gives 10.65 Mg/m³. The calculation puts the energy relative to the elements at -0.51 eV/atom.

a b c (Å): 5.0331 5.0331 5.0331
angles (deg): 60.00 60.00 60.00
Fractional coordinates of all 3 atoms:
Ac1 0.0000 0.0000 0.0000
Tb1 0.5000 0.5000 0.5000
Ir1 0.7500 0.7500 0.7500

---

(3)
The following is a GGA-PBE calculation of a relaxed structure of Mg4NiPd2, from Alexandria.

For the calculated density, the calculation gives 4.97 Mg/m³. The calculation puts the energy relative to the elements at -0.43 eV/atom.

a b c (Å): 7.5782 7.5782 7.5782
angles (deg): 34.28 34.28 34.28
Fractional coordinates of all 7 atoms:
Mg1 0.1208 0.1208 0.1208
Mg2 0.3731 0.3731 0.3731
Mg3 0.6269 0.6269 0.6269
Mg4 0.8792 0.8792 0.8792
Ni1 0.5000 0.5000 0.5000
Pd1 0.2449 0.2449 0.2449
Pd2 0.7551 0.7551 0.7551

---

> Look up the energy relative to the elements of the first one.

0.20 eV/atom